Compound: Cu2SbCl
Source: the Alexandria database
Functional: PBE-GGA
Structure: optimized geometry Values from VASP.

Geometry as Quantum ESPRESSO input:
```
&SYSTEM
  ibrav = 0, nat = 4, ntyp = 3
/
ATOMIC_SPECIES
Cu 63.55 Cu.upf
Sb 121.76 Sb.upf
Cl 35.45 Cl.upf
ATOMIC_POSITIONS angstrom
Cu 1.457 1.885 0.000
Cu 1.457 -1.885 0.000
Sb 0.000 0.000 1.664
Cl 2.913 0.000 1.664
CELL_PARAMETERS angstrom
2.913 -3.770 0.000
2.913 3.770 0.000
0.000 0.000 3.329
```

Output
The symmetry is Cmmm. The value obtained for the energy is -3.27 eV/atom. As for the formation energy (no corrections): 0.273 eV per atom.